DFT (PBE-GGA) results for a relaxed OsPdSeBr2 crystal.

a = 5.013 Å, b = 5.013 Å, c = 5.074 Å
α = 90.00°, β = 90.00°, γ = 90.00°
Fractional positions:
1 Os 0.000 0.000 0.000
2 Pd 0.500 0.500 0.500
3 Se 0.500 0.500 0.000
4 Br 0.000 0.500 0.500
5 Br 0.500 0.000 0.500

Summary:
* symmetry: P4/mmm
* spin magnetization: 4.3 μB per cell
* ΔE to the lowest computed polymorph: 2.637 eV/f.u.

DFT (PBE-GGA) results for a relaxed CsRb2CuF6 crystal.

a = 6.621 Å, b = 6.621 Å, c = 6.621 Å
α = 60.00°, β = 60.00°, γ = 60.00°
Fractional positions:
1 Cs 0.000 0.000 0.000
2 Rb 0.250 0.250 0.250
3 Rb 0.750 0.750 0.750
4 Cu 0.500 0.500 0.500
5 F 0.294 0.294 0.706
6 F 0.294 0.706 0.294
7 F 0.294 0.706 0.706
8 F 0.706 0.294 0.294
9 F 0.706 0.294 0.706
10 F 0.706 0.706 0.294

Summary:
* symmetry: Fm-3m
* spin magnetization: 2.0 μB per cell
* ΔE to the lowest computed polymorph: 0.277 eV/f.u.

no.,formation energy without anion corrections (eV per atom),mass density (Mg/m³),electronic total energy (eV per atom)
1,1.273,6.974,-3.3777
2,-2.245,3.894,-4.0559